A relaxed structure of AcEu2Y, computed with GGA-PBE.

extended XYZ file:
```
4
Lattice="-1.761 -3.386 0.254 -0.341 -1.728 3.396 -11.629 4.117 3.084" Properties=species:S:1:pos:R:3 pbc="T T T"
Y 0.000 0.000 0.000
Eu -3.314 -0.313 1.663
Eu -10.417 -0.685 5.070
Ac -6.865 -0.499 3.367
```

Results
SG ... R-3m
Calculated formation energy ... 0.08 eV/atom